BeRe5 | PBE | optimized geometry

**Electronic total energy**: -10.958 eV per atom
**SG**: P4/mmm, No. 123
**Density**: 18.7 g cm⁻³
**V**: 83 Å³ per cell

```
6
Lattice="2.800 0.000 0.000 0.000 2.800 0.000 0.000 0.000 10.626" Properties=species:S:1:pos:R:3 pbc="T T T"
Be 0.000 0.000 0.000
Re 0.000 0.000 3.362
Re 0.000 0.000 7.264
Re 1.400 1.400 1.484
Re 1.400 1.400 5.313
Re 1.400 1.400 9.143
```